[1]
Density functional theory data (PBE-GGA) for a relaxed La2NdB2Os2N3 crystal.

Unit cell a=3.744 b=3.744 c=21.071 alpha=90.00 beta=90.00 gamma=90.00
Space group I4/mmm (No. 139)
Inequivalent atoms, fractional coordinates:
1 La 0.000 0.000 0.122 x4
2 Nd 0.000 0.000 0.500 x2
3 B 0.000 0.000 0.312 x4
4 Os 0.000 0.500 0.250 x4
5 N 0.000 0.000 0.000 x2
6 N 0.000 0.000 0.383 x4

Total DFT energy (no corrections), eV/cell: -170.18


[2]
Density functional theory data (PBE-GGA) for a relaxed LaNdB2Pd2N2 crystal.

Unit cell a=3.833 b=3.833 c=7.746 alpha=90.00 beta=90.00 gamma=90.00
Space group P4mm (No. 99)
Inequivalent atoms, fractional coordinates:
1 La 0.000 0.000 0.000 x1
2 Nd 0.500 0.500 0.669 x1
3 B 0.000 0.000 0.499 x1
4 B 0.500 0.500 0.169 x1
5 Pd 0.000 0.500 0.336 x2
6 N 0.000 0.000 0.682 x1
7 N 0.500 0.500 0.986 x1

Total DFT energy (no corrections), eV/cell: -58.15


[3]
Density functional theory data (PBE-GGA) for a relaxed La2PrNi2B2N3 crystal.

Unit cell a=3.745 b=3.745 c=19.858 alpha=90.00 beta=90.00 gamma=90.00
Space group I4/mmm (No. 139)
Inequivalent atoms, fractional coordinates:
1 La 0.000 0.000 0.130 x4
2 Pr 0.000 0.000 0.500 x2
3 Ni 0.000 0.500 0.250 x4
4 B 0.000 0.000 0.300 x4
5 N 0.000 0.000 0.000 x2
6 N 0.000 0.000 0.373 x4

Total DFT energy (no corrections), eV/cell: -148.82


- Which value of total DFT energy (no corrections) does entry 3 give?
  -148.82 eV/cell


- Which value of total DFT energy (no corrections) does entry 2 give?
  -58.15 eV/cell


Please write out number 3 again, unchanged.
Density functional theory data (PBE-GGA) for a relaxed La2PrNi2B2N3 crystal.

Unit cell a=3.745 b=3.745 c=19.858 alpha=90.00 beta=90.00 gamma=90.00
Space group I4/mmm (No. 139)
Inequivalent atoms, fractional coordinates:
1 La 0.000 0.000 0.130 x4
2 Pr 0.000 0.000 0.500 x2
3 Ni 0.000 0.500 0.250 x4
4 B 0.000 0.000 0.300 x4
5 N 0.000 0.000 0.000 x2
6 N 0.000 0.000 0.373 x4

Total DFT energy (no corrections), eV/cell: -148.82